DFT (GGA-PBEsol) results for crystalline LiAlS3Cl4O6 at its relaxed geometry.

Computed properties:
For the uncorrected formation energy, the calculation gives -1.3004 eV/atom. The total DFT energy (no corrections) comes out at -78.24 eV/f.u. The calculation puts the density at 2.0 Mg/m³. As for the crystal system: orthorhombic.

a = 9.5874 Å, b = 9.7871 Å, c = 13.1475 Å
α = 90.00°, β = 90.00°, γ = 90.00°
Last column: nearest neighbours and their distance in Å.
Sites, in units of the cell vectors:
Li1 0.1181 0.2500 0.2441  6 O 2.04-2.18
Li2 0.3819 0.7500 0.7441  6 O 2.04-2.18
Li3 0.6181 0.2500 0.2559  6 O 2.04-2.18
Li4 0.8819 0.7500 0.7559  6 O 2.04-2.18
Al1 0.2143 0.2500 0.6300  4 Cl 2.14-2.17
Al2 0.2857 0.7500 0.1300  4 Cl 2.14-2.17
Al3 0.7143 0.2500 0.8700  4 Cl 2.14-2.17
Al4 0.7857 0.7500 0.3700  4 Cl 2.14-2.17
S1 0.1303 0.7500 0.5648  2 O 1.44-1.45
S2 0.1359 0.5428 0.8657  2 O 1.45
S3 0.1359 0.9572 0.8657  2 O 1.45
S4 0.3641 0.0428 0.3657  2 O 1.45
S5 0.3641 0.4572 0.3657  2 O 1.45
S6 0.3697 0.2500 0.0648  2 O 1.44-1.45
S7 0.6303 0.7500 0.9352  2 O 1.44-1.45
S8 0.6359 0.5428 0.6343  2 O 1.45
S9 0.6359 0.9572 0.6343  2 O 1.45
S10 0.8641 0.0428 0.1343  2 O 1.45
S11 0.8641 0.4572 0.1343  2 O 1.45
S12 0.8697 0.2500 0.4352  2 O 1.44-1.45
Cl1 0.0919 0.7500 0.0452  1 Al 2.17
Cl2 0.0989 0.0709 0.5909  1 Al 2.14
Cl3 0.0989 0.4291 0.5909  1 Al 2.14
Cl4 0.2496 0.2500 0.7918  1 Al 2.15
Cl5 0.2504 0.7500 0.2918  1 Al 2.15
Cl6 0.4011 0.5709 0.0909  1 Al 2.14
Cl7 0.4011 0.9291 0.0909  1 Al 2.14
Cl8 0.4081 0.2500 0.5452  1 Al 2.17
Cl9 0.5919 0.7500 0.4548  1 Al 2.17
Cl10 0.5989 0.0709 0.9091  1 Al 2.14
Cl11 0.5989 0.4291 0.9091  1 Al 2.14
Cl12 0.7496 0.2500 0.7082  1 Al 2.15
Cl13 0.7504 0.7500 0.2082  1 Al 2.15
Cl14 0.9011 0.5709 0.4091  1 Al 2.14
Cl15 0.9011 0.9291 0.4091  1 Al 2.14
Cl16 0.9081 0.2500 0.9548  1 Al 2.17
O1 0.0014 0.5854 0.8264  1 S 1.45
O2 0.0014 0.9146 0.8264  1 S 1.45
O3 0.0139 0.7500 0.6343  1 S 1.44
O4 0.2314 0.2500 0.1094  1 S 1.45
O5 0.2425 0.1050 0.3197  1 S 1.45
O6 0.2425 0.3950 0.3197  1 S 1.45
O7 0.2575 0.6050 0.8197  1 S 1.45
O8 0.2575 0.8950 0.8197  1 S 1.45
O9 0.2686 0.7500 0.6094  1 S 1.45
O10 0.4861 0.2500 0.1343  1 S 1.44
O11 0.4986 0.0854 0.3264  1 S 1.45
O12 0.4986 0.4146 0.3264  1 S 1.45
O13 0.5014 0.5854 0.6736  1 S 1.45
O14 0.5014 0.9146 0.6736  1 S 1.45
O15 0.5139 0.7500 0.8657  1 S 1.44
O16 0.7314 0.2500 0.3906  1 S 1.45
O17 0.7425 0.1050 0.1803  1 S 1.45
O18 0.7425 0.3950 0.1803  1 S 1.45
O19 0.7575 0.6050 0.6803  1 S 1.45
O20 0.7575 0.8950 0.6803  1 S 1.45
O21 0.7686 0.7500 0.8906  1 S 1.45
O22 0.9861 0.2500 0.3657  1 S 1.44
O23 0.9986 0.0854 0.1736  1 S 1.45
O24 0.9986 0.4146 0.1736  1 S 1.45